This record from the Alexandria database describes Ba2MgAg3Pb4 after structural relaxation. The functional is PBE.

a b c (Å): 4.9263 4.9263 12.3136
angles (deg): 90.00 90.00 90.00
Closest atoms and distances in Å follow each position.
Element x y z (fractional)
1 Mg 0.5000 0.5000 0.5000  4 Pb 2.95
2 Pb 0.0000 0.5000 0.3675  3 Ag 2.85-2.95, 2 Mg 2.95
3 Pb 0.5000 0.5000 0.0000  4 Ag 2.98
4 Pb 0.5000 0.0000 0.6325  3 Ag 2.85-2.95, 2 Mg 2.95
5 Pb 0.0000 0.0000 0.0000  4 Ag 2.98
6 Ag 0.0000 0.0000 0.5000  4 Pb 2.95
7 Ag 0.0000 0.5000 0.1364  5 Pb 2.85-2.98
8 Ag 0.5000 0.0000 0.8636  5 Pb 2.85-2.98
9 Ba 0.5000 0.0000 0.2526  8 Pb 3.76-3.97, 6 Ag 3.77-3.92, 2 Mg 3.92
10 Ba 0.0000 0.5000 0.7474  8 Pb 3.76-3.97, 6 Ag 3.77-3.92, 2 Mg 3.92

Results
- Space-group type: No. 115
- Formation energy from the elements: -298 meV/atom
- N(E_F): 5.157 states/eV per cell



This record from the Alexandria database describes CdSbRh2 after structural relaxation. The functional is PBE.

a b c (Å): 4.4334 4.4334 3.4850
angles (deg): 90.00 90.00 89.97
Closest atoms and distances in Å follow each position.
Element x y z (fractional)
1 Sb 0.0000 0.0000 0.5000  8 Rh 2.82, 4 Cd 3.13-3.14
2 Cd 0.5000 0.5000 0.5000  8 Rh 2.82, 4 Sb 3.13-3.14
3 Rh 0.0000 0.5000 0.0000  4 Cd 2.82, 4 Sb 2.82, 4 Rh 3.13-3.14
4 Rh 0.5000 0.0000 0.0000  4 Cd 2.82, 4 Sb 2.82, 4 Rh 3.13-3.14

Results
- Space-group type: No. 123
- Energy relative to the elements, uncorrected: -0.21 eV per atom
- N(E_F): 2.944 states/eV per cell



This record from the Alexandria database describes SiPCl after structural relaxation. The functional is PBE.

a b c (Å): 5.9463 10.2808 7.5914
angles (deg): 136.55 90.00 90.00
Closest atoms and distances in Å follow each position.
Element x y z (fractional)
1 Si 0.4303 0.3736 0.9446  1 Cl 2.07, 3 P 2.27-2.29
2 Si 0.9303 0.6264 0.0554  1 Cl 2.07, 3 P 2.27-2.29
3 Si 0.9303 0.1264 0.5554  1 Cl 2.07, 3 P 2.27-2.29
4 Si 0.4303 0.8736 0.4446  1 Cl 2.07, 3 P 2.27-2.29
5 P 0.5464 0.1268 0.5342  3 Si 2.27-2.29
6 P 0.0464 0.8732 0.4658  3 Si 2.27-2.29
7 P 0.5464 0.6268 0.0342  3 Si 2.27-2.29
8 P 0.0464 0.3732 0.9658  3 Si 2.27-2.29
9 Cl 0.0252 0.1318 0.2986  1 Si 2.07
10 Cl 0.5252 0.8682 0.7014  1 Si 2.07
11 Cl 0.5252 0.3682 0.2014  1 Si 2.07
12 Cl 0.0252 0.6318 0.7986  1 Si 2.07

Results
- Space-group type: No. 4
- Energy relative to the elements, uncorrected: -0.56 eV per atom
- Energy above the most stable polymorph in this dataset: 1 kJ/mol of formula units
- N(E_F): 0.000 states/eV per cell



This record from the Alexandria database describes SbOsBr2 after structural relaxation. The functional is PBE.

a b c (Å): 3.7677 7.1627 7.1589
angles (deg): 41.91 90.00 90.00
Closest atoms and distances in Å follow each position.
Element x y z (fractional)
1 Br 0.0000 0.1203 0.1197  2 Os 2.56
2 Br 0.0000 0.3797 0.3803  2 Os 2.56
3 Os 0.5000 0.2500 0.2500  2 Sb 2.56, 4 Br 2.56
4 Sb 0.5000 0.7500 0.7500  2 Os 2.56

Results
- Space-group type: No. 65
- Energy relative to the elements, uncorrected: 0.28 eV per atom
- Energy above the most stable polymorph in this dataset: 0 kJ/mol of formula units
- N(E_F): 2.606 states/eV per cell



This record from the Alexandria database describes Tl2PdPt after structural relaxation. The functional is PBE.

a b c (Å): 3.1670 3.1670 10.0830
angles (deg): 80.96 80.96 60.00
Closest atoms and distances in Å follow each position.
Element x y z (fractional)
1 Tl 0.0896 0.0896 0.7311  1 Pd 2.67, 3 Pt 2.93
2 Tl 0.9104 0.9104 0.2689  1 Pd 2.67, 3 Pt 2.93
3 Pt 0.5000 0.5000 0.5000  6 Tl 2.93, 6 Pt 3.17
4 Pd 0.0000 0.0000 0.0000  2 Tl 2.67

Results
- Space-group type: No. 166
- Formation energy from the elements: 199 meV/atom
- Energy above the most stable polymorph in this dataset: 100 kJ/mol of formula units
- N(E_F): 1.267 states/eV per cell



This record from the Alexandria database describes CsKTiBr6 after structural relaxation. The functional is PBE.

a b c (Å): 7.9119 7.9118 7.2970
angles (deg): 90.01 89.99 59.92
Closest atoms and distances in Å follow each position.
Element x y z (fractional)
1 Ti 0.3334 0.3334 0.5000  6 Br 2.54
2 Br 0.0697 0.5921 0.7022  1 Ti 2.54
3 Br 0.0707 0.3381 0.2971  1 Ti 2.54
4 Br 0.5911 0.3384 0.7028  1 Ti 2.54
5 Br 0.5921 0.0697 0.2978  1 Ti 2.54
6 Br 0.3381 0.0707 0.7029  1 Ti 2.54
7 Br 0.3384 0.5911 0.2972  1 Ti 2.54
8 Cs 0.0000 0.0000 0.0000  6 Br 3.70
9 K 0.6664 0.6664 0.5000  6 Br 3.29

Results
- Space-group type: No. 5
- Energy relative to the elements, uncorrected: -1.43 eV per atom



This record from the Alexandria database describes AlB3F after structural relaxation. The functional is PBE.

a b c (Å): 4.2134 4.2134 4.2134
angles (deg): 90.00 90.00 90.00
Closest atoms and distances in Å follow each position.
Element x y z (fractional)
1 B 0.5000 0.0000 0.0000  2 Al 2.11
2 B 0.0000 0.0000 0.5000  2 Al 2.11
3 B 0.0000 0.5000 0.0000  2 Al 2.11
4 F 0.5000 0.5000 0.5000  12 B 2.98
5 Al 0.0000 0.0000 0.0000  6 B 2.11

Results
- Space-group type: No. 221
- Energy relative to the elements, uncorrected: 1.63 eV per atom
- Energy above the most stable polymorph in this dataset: 0 kJ/mol of formula units
- N(E_F): 2.676 states/eV per cell



This record from the Alexandria database describes NaTc2S after structural relaxation. The functional is PBE.

a b c (Å): 4.6837 4.6837 8.9355
angles (deg): 74.81 74.81 90.00
Closest atoms and distances in Å follow each position.
Element x y z (fractional)
1 Tc 0.3750 0.1252 0.7500  2 Tc 2.34, 2 S 2.38
2 Tc 0.8750 0.1248 0.7500  2 Tc 2.34, 2 S 2.38
3 Tc 0.8748 0.1250 0.2500  2 Tc 2.34, 2 S 2.38
4 Tc 0.8752 0.6250 0.2500  2 Tc 2.34, 2 S 2.38
5 Na 0.5000 0.5000 0.0000  4 S 3.31, 8 Tc 3.34
6 Na 0.2500 0.7500 0.5000  4 S 3.31, 8 Tc 3.34
7 S 0.7500 0.2500 0.5000  4 Tc 2.38
8 S 0.0000 0.0000 0.0000  4 Tc 2.38

Results
- Space-group type: No. 141
- Energy relative to the elements, uncorrected: 0.62 eV per atom
- N(E_F): 8.057 states/eV per cell



This record from the Alexandria database describes TiZn2Sn after structural relaxation. The functional is PBE.

a b c (Å): 7.4778 7.4778 5.9615
angles (deg): 51.16 51.16 90.00
Closest atoms and distances in Å follow each position.
Element x y z (fractional)
1 Sn 0.0000 0.0000 0.0000  4 Zn 2.75, 2 Ti 2.75
2 Sn 0.7500 0.2500 0.5000  4 Zn 2.75, 2 Ti 2.75
3 Zn 0.6222 0.1250 0.2500  2 Ti 2.72, 2 Sn 2.75, 2 Zn 2.75
4 Zn 0.3750 0.3778 0.7500  2 Ti 2.72, 2 Sn 2.75, 2 Zn 2.75
5 Zn 0.1278 0.6250 0.2500  2 Ti 2.72, 2 Sn 2.75, 2 Zn 2.75
6 Zn 0.8750 0.8722 0.7500  2 Ti 2.72, 2 Sn 2.75, 2 Zn 2.75
7 Ti 0.5000 0.5000 0.0000  4 Zn 2.72, 2 Sn 2.75
8 Ti 0.2500 0.7500 0.5000  4 Zn 2.72, 2 Sn 2.75

Results
- Space-group type: No. 122
- Formation energy from the elements: 137 meV/atom
- N(E_F): 2.669 states/eV per cell



This record from the Alexandria database describes Th2GePb after structural relaxation. The functional is PBE.

a b c (Å): 4.3991 4.3991 7.8174
angles (deg): 73.66 73.66 60.00
Closest atoms and distances in Å follow each position.
Element x y z (fractional)
1 Th 0.7428 0.7428 0.7717  3 Ge 3.05, 3 Pb 3.24
2 Th 0.2572 0.2572 0.2283  3 Ge 3.05, 3 Pb 3.24
3 Ge 0.0000 0.0000 0.0000  6 Th 3.05
4 Pb 0.5000 0.5000 0.5000  6 Th 3.24

Results
- Space-group type: No. 166
- Formation energy from the elements: -508 meV/atom
- Energy above the most stable polymorph in this dataset: 0 kJ/mol of formula units
- N(E_F): 2.203 states/eV per cell



This record from the Alexandria database describes CuTc2Ag after structural relaxation. The functional is PBE.

a b c (Å): 9.3954 9.3954 9.3954
angles (deg): 16.64 16.64 16.64
Closest atoms and distances in Å follow each position.
Element x y z (fractional)
1 Cu 0.7500 0.7500 0.7500  6 Tc 2.68, 6 Cu 2.72
2 Tc 0.4947 0.4947 0.4947  3 Cu 2.68, 6 Tc 2.72, 3 Ag 2.92
3 Tc 0.0053 0.0053 0.0053  3 Cu 2.68, 6 Tc 2.72, 3 Ag 2.92
4 Ag 0.2500 0.2500 0.2500  6 Ag 2.72, 6 Tc 2.92

Results
- Space-group type: No. 166
- Formation energy from the elements: 480 meV/atom
- Energy above the most stable polymorph in this dataset: 82 kJ/mol of formula units
- N(E_F): 6.893 states/eV per cell



This record from the Alexandria database describes Co2OsRh after structural relaxation. The functional is PBE.

a b c (Å): 2.6640 2.6640 7.1336
angles (deg): 90.00 90.00 90.00
Closest atoms and distances in Å follow each position.
Element x y z (fractional)
1 Co 0.5000 0.5000 0.2400  8 Co 2.47-2.66, 4 Os 2.58
2 Co 0.0000 0.0000 0.0156  8 Co 2.47-2.66, 4 Rh 2.64
3 Os 0.0000 0.0000 0.4874  4 Co 2.58, 4 Os 2.66, 4 Rh 2.69
4 Rh 0.5000 0.5000 0.7570  4 Co 2.64, 4 Rh 2.66, 4 Os 2.69

Results
- Space-group type: No. 99
- Formation energy from the elements: 119 meV/atom
- Energy above the most stable polymorph in this dataset: 3 kJ/mol of formula units
- N(E_F): 4.728 states/eV per cell



This record from the Alexandria database describes Cs2KZnAu after structural relaxation. The functional is PBE.

a b c (Å): 6.9343 6.9343 6.4500
angles (deg): 90.00 90.00 90.00
Closest atoms and distances in Å follow each position.
Element x y z (fractional)
1 K 0.0000 0.0000 0.5000  2 Au 3.23
2 Zn 0.5000 0.5000 0.5000  8 Cs 4.74, 4 K 4.90
3 Cs 0.5000 0.0000 0.0000  2 Au 3.47
4 Cs 0.0000 0.5000 0.0000  2 Au 3.47
5 Au 0.0000 0.0000 0.0000  2 K 3.23, 4 Cs 3.47

Results
- Space-group type: No. 123
- Formation energy from the elements: 42 meV/atom
- Energy above the most stable polymorph in this dataset: 44 kJ/mol of formula units
- N(E_F): 6.019 states/eV per cell